Model P:
VASP calculation (GGA-PBE) on a relaxed structure of LaNd2Er7.

POSCAR file:
```
LaNd2Er7
1.0
4.0933 -8.8948 0.0000
4.0933 8.8948 0.0000
0.0000 0.0000 5.3795
La Nd Er
1 2 7
Direct
0.0000 0.0000 0.0000
0.2641 0.7359 0.5000
0.7359 0.2641 0.5000
0.0959 0.2930 0.5000
0.2930 0.0959 0.5000
0.4033 0.5967 0.0000
0.5000 0.5000 0.5000
0.5967 0.4033 0.0000
0.7070 0.9041 0.5000
0.9041 0.7070 0.5000
```

Calculated values
Magnetization: 0.00 Bohr magnetons per cell
V: 392 Å³/cell

Model Q:
VASP calculation (GGA-PBE) on a relaxed structure of LaNd2Er7.

POSCAR file:
```
LaNd2Er7
1.0
4.3006 -8.3600 0.0000
4.3006 8.3600 0.0000
0.0000 0.0000 5.4453
La Nd Er
1 2 7
Direct
0.0000 0.0000 0.0000
0.2976 0.7024 0.5000
0.7024 0.2976 0.5000
0.0651 0.2891 0.5000
0.2086 0.7914 0.0000
0.2891 0.0651 0.5000
0.5000 0.5000 0.5000
0.7109 0.9349 0.5000
0.7914 0.2086 0.0000
0.9349 0.7109 0.5000
```

Calculated values
Magnetization: 0.00 Bohr magnetons per cell
V: 392 Å³/cell

Which structure is most stable? model P, by 73 meV/atom over the runner-up.